1.
Entry from Alexandria: an optimized crystal structure of CaBe2Ru (PBE).

The structure in CIF format:
```
data_CaBe2Ru
_cell_length_a 5.937
_cell_length_b 5.946
_cell_length_c 3.241
_cell_angle_alpha 90.00
_cell_angle_beta 90.00
_cell_angle_gamma 90.00
_space_group_name_H-M_alt 'C m m m'
_space_group_IT_number 65
_space_group_name_Hall '-C 2 2'
loop_
_atom_site_label
_atom_site_fract_x
_atom_site_fract_y
_atom_site_fract_z
_atom_site_occupancy
Ca1 0.000 0.000 0.000 1
Be1 0.250 0.250 0.500 1
Ru1 0.000 0.500 0.000 1
```

Values from the calculation:
The excess energy over the best structure of this formula in the dataset comes out at 0.539 eV per atom. As for the formation energy: 0.41 eV per atom.


2.
Entry from Alexandria: an optimized crystal structure of TbSmAu5 (PBE).

The structure in CIF format:
```
data_TbSmAu5
_cell_length_a 6.717
_cell_length_b 8.269
_cell_length_c 11.474
_cell_angle_alpha 90.00
_cell_angle_beta 106.78
_cell_angle_gamma 90.00
_space_group_name_H-M_alt 'C 1 2/c 1'
_space_group_IT_number 15
_space_group_name_Hall '-C 2yc'
loop_
_atom_site_label
_atom_site_fract_x
_atom_site_fract_y
_atom_site_fract_z
_atom_site_occupancy
Tb1 0.000 0.186 0.250 1
Sm1 0.250 0.250 0.000 1
Au1 0.000 0.180 0.750 1
Au2 0.102 0.495 0.651 1
Au3 0.176 0.107 0.540 1
```

Values from the calculation:
As for the formation energy: -0.65 eV per atom.


Please write out number 1 again, unchanged.
Entry from Alexandria: an optimized crystal structure of CaBe2Ru (PBE).

The structure in CIF format:
```
data_CaBe2Ru
_cell_length_a 5.937
_cell_length_b 5.946
_cell_length_c 3.241
_cell_angle_alpha 90.00
_cell_angle_beta 90.00
_cell_angle_gamma 90.00
_space_group_name_H-M_alt 'C m m m'
_space_group_IT_number 65
_space_group_name_Hall '-C 2 2'
loop_
_atom_site_label
_atom_site_fract_x
_atom_site_fract_y
_atom_site_fract_z
_atom_site_occupancy
Ca1 0.000 0.000 0.000 1
Be1 0.250 0.250 0.500 1
Ru1 0.000 0.500 0.000 1
```

Values from the calculation:
The excess energy over the best structure of this formula in the dataset comes out at 0.539 eV per atom. As for the formation energy: 0.41 eV per atom.